No. 1
First-principles (PBE-GGA) data for a relaxed Tb3Dy7Y2 crystal, as listed in the Alexandria database.

Values from the calculation:
As for the space-group type: P2/m (10). The energy of formation from the pure elements comes out at 79 meV/atom. As for the energy relative to the lowest polymorph listed for this composition: 0 meV/atom.

abc: 3.512 6.327 17.875
angles: 75.54 90.00 90.00
Fractional coordinates of all 12 atoms:
Tb1 0.500 0.500 0.000
Tb2 0.000 0.108 0.342
Tb3 0.000 0.892 0.658
Dy1 0.500 0.243 0.501
Dy2 0.500 0.757 0.499
Dy3 0.000 0.561 0.165
Dy4 0.000 0.000 0.000
Dy5 0.000 0.439 0.835
Dy6 0.500 0.942 0.833
Dy7 0.500 0.058 0.167
Y1 0.500 0.614 0.327
Y2 0.500 0.386 0.673

---

No. 2
First-principles (PBE-GGA) data for a relaxed Tb12DyY2 crystal, as listed in the Alexandria database.

Values from the calculation:
As for the space-group type: C2/m (12). The energy of formation from the pure elements comes out at 113 meV/atom.

abc: 6.655 6.655 24.707
angles: 95.32 84.68 64.32
Fractional coordinates of all 30 atoms:
Tb1 0.415 0.545 0.799
Tb2 0.955 0.085 0.799
Tb3 0.665 0.835 0.849
Tb4 0.082 0.887 0.927
Tb5 0.974 0.015 0.330
Tb6 0.418 0.613 0.073
Tb7 0.845 0.166 0.556
Tb8 0.485 0.526 0.330
Tb9 0.164 0.336 0.878
Tb10 0.835 0.665 0.151
Tb11 0.335 0.165 0.573
Tb12 0.655 0.334 0.444
Tb13 0.015 0.974 0.670
Tb14 0.165 0.335 0.427
Tb15 0.336 0.164 0.122
Tb16 0.679 0.821 0.423
Tb17 0.821 0.679 0.577
Tb18 0.085 0.955 0.201
Tb19 0.334 0.655 0.556
Tb20 0.526 0.485 0.670
Tb21 0.613 0.418 0.927
Tb22 0.545 0.415 0.201
Tb23 0.166 0.845 0.444
Tb24 0.887 0.082 0.073
Dy1 0.509 0.991 0.986
Dy2 0.991 0.509 0.014
Y1 0.507 0.993 0.277
Y2 0.017 0.483 0.275
Y3 0.993 0.507 0.723
Y4 0.483 0.017 0.725

---

No. 3
First-principles (PBE-GGA) data for a relaxed Tb3Dy2Y7 crystal, as listed in the Alexandria database.

Values from the calculation:
As for the space-group type: P2/m (10). The energy of formation from the pure elements comes out at 90 meV/atom. As for the energy relative to the lowest polymorph listed for this composition: 0 meV/atom.

abc: 3.578 5.812 18.709
angles: 93.40 90.00 90.00
Fractional coordinates of all 12 atoms:
Tb1 0.500 0.500 0.000
Tb2 0.000 0.219 0.367
Tb3 0.000 0.781 0.633
Dy1 0.500 0.706 0.294
Dy2 0.500 0.294 0.706
Y1 0.500 0.742 0.463
Y2 0.500 0.258 0.537
Y3 0.000 0.683 0.144
Y4 0.000 0.000 0.000
Y5 0.000 0.317 0.856
Y6 0.500 0.814 0.821
Y7 0.500 0.186 0.179

---

No. 4
First-principles (PBE-GGA) data for a relaxed TbDy4Y2 crystal, as listed in the Alexandria database.

Values from the calculation:
As for the space-group type: P3m1 (156). The energy of formation from the pure elements comes out at 6 meV/atom. As for the energy relative to the lowest polymorph listed for this composition: 0 meV/atom.

abc: 3.585 3.585 20.027
angles: 90.00 90.00 120.00
Fractional coordinates of all 7 atoms:
Tb1 0.715 0.429 0.666
Dy1 0.048 0.095 0.952
Dy2 0.381 0.763 0.524
Dy3 0.048 0.096 0.238
Dy4 0.381 0.762 0.809
Y1 0.714 0.429 0.096
Y2 0.715 0.429 0.381

---

What raw total energy values result from the calculations? In sequence: -0.178, -0.175, -0.206, -0.189 hartree per atom.
What DOS(E_F) values result from the calculations? In sequence: 1.489, 1.473, 1.344, 1.424 states/eV per atom.
What volume values result from the calculations? In sequence: 384.6, 971.1, 388.3, 222.9 Å³ per cell.